Te2MoRu | GGA-PBE | optimized geometry

abc: 3.097 3.947 7.571
angles: 90.00 90.00 90.00
Fractional coordinates of all 4 atoms:
Te1 0.000 0.000 0.000
Te2 0.500 0.500 0.458
Mo1 0.000 0.000 0.651
Ru1 0.500 0.500 0.810

Summary:
The density of states at the Fermi level is 0.911 states/eV/atom. As for the energy relative to the elements, uncorrected: 0.147 eV/atom. The calculation puts the distance to the lowest polymorph of the same formula at 109 meV/atom.

=====

FePdPt6 | GGA-PBE | optimized geometry

abc: 3.936 3.936 7.880
angles: 90.00 90.00 90.00
Fractional coordinates of all 8 atoms:
Fe1 0.000 0.000 0.000
Pd1 0.000 0.000 0.500
Pt1 0.000 0.500 0.242
Pt2 0.000 0.500 0.758
Pt3 0.500 0.000 0.242
Pt4 0.500 0.000 0.758
Pt5 0.500 0.500 0.000
Pt6 0.500 0.500 0.500

Summary:
The density of states at the Fermi level is 1.187 states/eV/atom. The calculation puts the total energy at -6.38 eV/atom.

=====

Cd2ReAu | GGA-PBE | optimized geometry

abc: 2.977 4.877 5.012
angles: 90.00 90.00 90.00
Fractional coordinates of all 4 atoms:
Cd1 0.000 0.000 0.000
Cd2 0.500 0.000 0.500
Re1 0.000 0.500 0.500
Au1 0.500 0.500 0.000

Summary:
The density of states at the Fermi level is 0.663 states/eV/atom. The calculation puts the distance to the lowest polymorph of the same formula at 221 meV/atom.

=====

PrTlCuPd | GGA-PBE | optimized geometry

abc: 6.981 6.981 6.981
angles: 90.00 90.00 90.00
Fractional coordinates of all 16 atoms:
Pr1 0.000 0.000 0.000
Pr2 0.000 0.500 0.500
Pr3 0.500 0.000 0.500
Pr4 0.500 0.500 0.000
Tl1 0.000 0.000 0.500
Tl2 0.000 0.500 0.000
Tl3 0.500 0.000 0.000
Tl4 0.500 0.500 0.500
Cu1 0.250 0.250 0.750
Cu2 0.250 0.750 0.250
Cu3 0.750 0.250 0.250
Cu4 0.750 0.750 0.750
Pd1 0.250 0.250 0.250
Pd2 0.250 0.750 0.750
Pd3 0.750 0.250 0.750
Pd4 0.750 0.750 0.250

Summary:
The density of states at the Fermi level is 0.889 states/eV/atom. The calculation puts the total energy at -4.44 eV/atom.

=====

Tl2GaRh2 | GGA-PBE | optimized geometry

abc: 6.639 6.639 4.298
angles: 90.00 90.00 90.00
Fractional coordinates of all 10 atoms:
Tl1 0.161 0.339 0.000
Tl2 0.339 0.839 0.000
Tl3 0.661 0.161 0.000
Tl4 0.839 0.661 0.000
Ga1 0.000 0.000 0.500
Ga2 0.500 0.500 0.500
Rh1 0.154 0.654 0.500
Rh2 0.346 0.154 0.500
Rh3 0.654 0.846 0.500
Rh4 0.846 0.346 0.500

Summary:
The density of states at the Fermi level is 0.506 states/eV/atom. The calculation puts the total energy at -4.59 eV/atom.

=====

Dy4Er3Mg | GGA-PBE | optimized geometry

abc: 25.415 3.370 5.818
angles: 90.00 95.58 90.00
Fractional coordinates of all 16 atoms:
Dy1 0.102 0.000 0.196
Dy2 0.218 0.500 0.237
Dy3 0.282 0.000 0.763
Dy4 0.398 0.500 0.804
Dy5 0.602 0.500 0.196
Dy6 0.718 0.000 0.237
Dy7 0.782 0.500 0.763
Dy8 0.898 0.000 0.804
Er1 0.000 0.000 0.500
Er2 0.150 0.000 0.715
Er3 0.350 0.500 0.285
Er4 0.500 0.500 0.500
Er5 0.650 0.500 0.715
Er6 0.850 0.000 0.285
Mg1 0.000 0.500 0.000
Mg2 0.500 0.000 0.000

Summary:
The density of states at the Fermi level is 1.397 states/eV/atom. The calculation puts the distance to the lowest polymorph of the same formula at 228 meV/atom.

=====

TbDyY2Er6 | GGA-PBE | optimized geometry

abc: 8.723 8.723 9.460
angles: 93.65 93.65 117.68
Fractional coordinates of all 20 atoms:
Tb1 0.025 0.975 0.750
Tb2 0.975 0.025 0.250
Dy1 0.409 0.591 0.250
Dy2 0.591 0.409 0.750
Y1 0.197 0.301 0.545
Y2 0.301 0.197 0.045
Y3 0.699 0.803 0.955
Y4 0.803 0.699 0.455
Er1 0.020 0.570 0.685
Er2 0.124 0.751 0.057
Er3 0.249 0.876 0.443
Er4 0.291 0.509 0.881
Er5 0.430 0.980 0.815
Er6 0.491 0.709 0.619
Er7 0.509 0.291 0.381
Er8 0.570 0.020 0.185
Er9 0.709 0.491 0.119
Er10 0.751 0.124 0.557
Er11 0.876 0.249 0.943
Er12 0.980 0.430 0.315

Summary:
The density of states at the Fermi level is 1.462 states/eV/atom. The calculation puts the total energy at -4.83 eV/atom.

=====

Ce2InH | GGA-PBE | optimized geometry

abc: 3.335 3.335 26.176
angles: 90.00 90.00 120.00
Fractional coordinates of all 12 atoms:
Ce1 0.000 0.000 0.227
Ce2 0.000 0.000 0.773
Ce3 0.333 0.667 0.440
Ce4 0.333 0.667 0.893
Ce5 0.667 0.333 0.107
Ce6 0.667 0.333 0.560
In1 0.000 0.000 0.000
In2 0.333 0.667 0.667
In3 0.667 0.333 0.333
H1 0.000 0.000 0.500
H2 0.333 0.667 0.167
H3 0.667 0.333 0.833

Summary:
The density of states at the Fermi level is 1.874 states/eV/atom. The calculation puts the distance to the lowest polymorph of the same formula at 124 meV/atom.